Record 1
Material: MgReHg
Method: DFT, PBE-GGA
State: relaxed

Lattice parameters (Å, degrees): 6.464 6.464 6.464 90.00 90.00 90.00
Space group F-43m (No. 216)
Inequivalent atoms, fractional coordinates:
Mg 0.000 0.000 0.000 x4
Re 0.250 0.250 0.250 x4
Hg 0.000 0.000 0.500 x4

Calculated values
The distance to the lowest polymorph of the same formula is 1101 meV per atom.

***

Record 2
Material: SmNp2US4
Method: DFT, PBE-GGA
State: relaxed

Lattice parameters (Å, degrees): 6.721 3.892 6.882 90.00 109.17 90.00
Space group P2/m (No. 10)
Inequivalent atoms, fractional coordinates:
Sm 0.000 0.000 0.000 x1
Np 0.500 0.000 0.500 x1
Np 0.500 0.500 0.000 x1
U 0.000 0.500 0.500 x1
S 0.252 0.000 0.748 x2
S 0.254 0.500 0.256 x2

Calculated values
The uncorrected formation energy comes out at -1517.2 meV/atom.

***

Record 3
Material: PaAsAuO6
Method: DFT, PBE-GGA
State: relaxed

Lattice parameters (Å, degrees): 5.5048 5.5048 9.2384 90.00 90.00 120.00
Space group P-31c (No. 163)
Inequivalent atoms, fractional coordinates:
Pa 0.3333 0.6667 0.2500 x2
As 0.3333 0.6667 0.7500 x2
Au 0.0000 0.0000 0.0000 x2
O 0.0440 0.3870 0.6382 x12

Calculated values
The uncorrected formation energy comes out at -1565.7 meV/atom.

***

Record 4
Material: Nd4Tl3Sn
Method: DFT, PBE-GGA
State: relaxed

Lattice parameters (Å, degrees): 3.814 5.570 11.151 90.00 90.00 90.00
Space group Pmmm (No. 47)
Inequivalent atoms, fractional coordinates:
Nd 0.000 0.000 0.000 x1
Nd 0.000 0.000 0.500 x1
Nd 0.000 0.500 0.246 x2
Tl 0.500 0.000 0.256 x2
Tl 0.500 0.500 0.500 x1
Sn 0.500 0.500 0.000 x1

Calculated values
The value obtained for the energy is -33.84 eV/cell.

***

Record 5
Material: SrLiW2
Method: DFT, PBE-GGA
State: relaxed

Lattice parameters (Å, degrees): 3.327 4.888 10.155 90.00 90.00 90.00
Space group Cmm2 (No. 35)
Inequivalent atoms, fractional coordinates:
Sr 0.000 0.000 0.000 x2
Li 0.000 0.500 0.307 x2
W 0.000 0.000 0.533 x2
W 0.000 0.500 0.726 x2

Calculated values
The distance to the lowest polymorph of the same formula is 139 meV per atom.

***

Record 6
Material: AlS2NO
Method: DFT, PBE-GGA
State: relaxed

Lattice parameters (Å, degrees): 4.691 4.691 3.633 90.00 90.00 90.00
Space group P4/mmm (No. 123)
Inequivalent atoms, fractional coordinates:
Al 0.000 0.000 0.000 x1
S 0.000 0.500 0.000 x2
N 0.000 0.000 0.500 x1
O 0.500 0.500 0.500 x1

Calculated values
The distance to the lowest polymorph of the same formula is 23 meV per atom. The uncorrected formation energy comes out at 1029.7 meV/atom.

***

Record 7
Material: CePtN
Method: DFT, PBE-GGA
State: relaxed

Lattice parameters (Å, degrees): 5.499 5.499 7.476 90.00 90.07 90.00
Space group C2/m (No. 12)
Inequivalent atoms, fractional coordinates:
Ce 0.250 0.000 0.156 x4
Pt 0.250 0.000 0.525 x4
N 0.000 0.250 0.000 x4

Calculated values
The distance to the lowest polymorph of the same formula is 69 meV per atom. The uncorrected formation energy comes out at -1018.4 meV/atom.

***

Record 8
Material: Zn8SnAu6
Method: DFT, PBE-GGA
State: relaxed

Lattice parameters (Å, degrees): 7.6656 7.6656 16.4477 90.00 90.00 120.00
Space group R-3 (No. 148, hexagonal axes)
Inequivalent atoms, fractional coordinates:
Zn 0.0000 0.0000 0.1655 x6
Zn 0.0010 0.3312 0.3817 x18
Sn 0.0000 0.0000 0.5000 x3
Au 0.0008 0.6529 0.4419 x18

Calculated values
The value obtained for the energy is -108.90 eV/cell.

***

Number 1: spin magnetization 0.782 μB per atom. Number 2: spin magnetization 0.279 μB per atom. Number 3: spin magnetization 0.114 μB per atom. Number 4: spin magnetization 0.000 μB per atom. Number 5: spin magnetization 0.000 μB per atom. Number 6: spin magnetization 0.634 μB per atom. Number 7: spin magnetization 0.000 μB per atom. Number 8: spin magnetization 0.000 μB per atom.